*1*
# Co3Cl

Co3Cl after structural relaxation (GGA-PBE, Alexandria).

a b c (Å): 7.9338 7.9338 2.7692
angles (deg): 90.00 90.00 120.00
With the nearest neighbours (Å) after each atom.
Space group R-3m (No. 166, hexagonal axes)
Inequivalent atoms, fractional coordinates:
Co 0.0000 0.5000 0.0000 x9  4 Co 2.47, 2 Cl 2.47
Cl 0.0000 0.0000 0.0000 x3  6 Co 2.47

*2*
# Co3Cl

Co3Cl after structural relaxation (GGA-PBE, Alexandria).

a b c (Å): 3.5718 3.5718 7.8847
angles (deg): 90.00 90.00 90.00
With the nearest neighbours (Å) after each atom.
Space group I4/mmm (No. 139)
Inequivalent atoms, fractional coordinates:
Co 0.0000 0.0000 0.0000 x2  4 Cl 2.53, 8 Co 2.66
Co 0.0000 0.5000 0.2500 x4  8 Co 2.53-2.66, 4 Cl 2.66
Cl 0.0000 0.0000 0.5000 x2  12 Co 2.53-2.66

*3*
# Co3Cl

Co3Cl after structural relaxation (GGA-PBE, Alexandria).

a b c (Å): 6.1038 6.1038 7.0841
angles (deg): 90.00 90.00 120.00
With the nearest neighbours (Å) after each atom.
Space group P6_3/mmc (No. 194)
Inequivalent atoms, fractional coordinates:
Co 0.0000 0.5000 0.0000 x6  4 Co 2.39, 2 Cl 2.50
Co 0.2025 0.4049 0.2500 x6  6 Co 2.39-2.40
Cl 0.0000 0.0000 0.0000 x2  12 Co 2.78-3.05
Cl 0.3333 0.6667 0.7500 x2  6 Co 2.50

*4*
# Co3Cl

Co3Cl after structural relaxation (GGA-PBE, Alexandria).

a b c (Å): 6.2471 6.2471 3.7202
angles (deg): 90.00 90.00 120.00
With the nearest neighbours (Å) after each atom.
Space group P6_3/mmc (No. 194)
Inequivalent atoms, fractional coordinates:
Co 0.1318 0.2635 0.2500 x6  6 Co 2.34-2.47
Cl 0.3333 0.6667 0.7500 x2  12 Co 2.87-3.15

Least stable = *2*

*1*
# Co5Cl

Co5Cl after structural relaxation (GGA-PBE, Alexandria).

a b c (Å): 9.3466 2.7053 5.9834
angles (deg): 90.00 107.56 90.00
With the nearest neighbours (Å) after each atom.
Space group Cm (No. 8)
Inequivalent atoms, fractional coordinates:
Co 0.0000 0.0000 0.0000 x2  8 Co 2.32-2.58
Co 0.0533 0.0000 0.6464 x2  8 Co 2.32-2.58
Co 0.2286 0.5000 0.9689 x2  1 Cl 2.44, 11 Co 2.49-2.71
Co 0.3371 0.0000 0.6942 x2  7 Co 2.41-2.58, 2 Cl 2.49
Co 0.4246 0.0000 0.2862 x2  1 Cl 2.37, 6 Co 2.45-2.59
Cl 0.1882 0.5000 0.3539 x2  4 Co 2.37-2.49

*2*
# Co5Cl

Co5Cl after structural relaxation (GGA-PBE, Alexandria).

a b c (Å): 4.7385 4.7385 4.2095
angles (deg): 90.00 90.00 120.00
With the nearest neighbours (Å) after each atom.
Space group P6/mmm (No. 191)
Inequivalent atoms, fractional coordinates:
Co 0.0000 0.5000 0.0000 x3  8 Co 2.37-2.51
Co 0.3333 0.6667 0.5000 x2  9 Co 2.51-2.74, 3 Cl 2.74
Cl 0.0000 0.0000 0.5000 x1  6 Co 2.74

*3*
# Co5Cl

Co5Cl after structural relaxation (GGA-PBE, Alexandria).

a b c (Å): 2.9169 2.9169 8.8118
angles (deg): 90.00 90.00 90.00
With the nearest neighbours (Å) after each atom.
Space group P4/mmm (No. 123)
Inequivalent atoms, fractional coordinates:
Co 0.0000 0.0000 0.0000 x1  10 Co 2.43-2.60
Co 0.0000 0.0000 0.2956 x2  5 Co 2.45-2.60, 4 Cl 2.74
Co 0.5000 0.5000 0.1452 x2  9 Co 2.43-2.56
Cl 0.5000 0.5000 0.5000 x1  8 Co 2.74, 4 Cl 2.92

Least stable = *2*

*1*
# Co5Cl

Co5Cl after structural relaxation (GGA-PBE, Alexandria).

a b c (Å): 3.9013 2.7255 14.4570
angles (deg): 90.00 90.00 90.00
With the nearest neighbours (Å) after each atom.
Space group Amm2 (No. 38)
Inequivalent atoms, fractional coordinates:
Co 0.0000 0.0000 0.0000 x2  4 Co 2.41-2.44
Co 0.0000 0.0000 0.2858 x2  2 Cl 2.46, 8 Co 2.48-2.73
Co 0.0000 0.0000 0.6398 x2  10 Co 2.40-2.51
Co 0.5000 0.0000 0.0977 x2  8 Co 2.41-2.46
Co 0.5000 0.0000 0.7371 x2  8 Co 2.40-2.48, 2 Cl 2.59
Cl 0.5000 0.0000 0.3895 x2  4 Co 2.46-2.59, 2 Cl 2.73

*2*
# Co5Cl

Co5Cl after structural relaxation (GGA-PBE, Alexandria).

a b c (Å): 6.7753 6.7753 6.7753
angles (deg): 90.00 90.00 90.00
With the nearest neighbours (Å) after each atom.
Space group F-43m (No. 216)
Inequivalent atoms, fractional coordinates:
Co 0.0000 0.0000 0.0000 x4  12 Co 2.81, 4 Cl 2.93
Co 0.1258 0.1258 0.6258 x16  6 Co 2.38-2.41
Cl 0.2500 0.2500 0.2500 x4  16 Co 2.81-2.93

Least stable = *2*

*1*
# Co4Cl

Co4Cl after structural relaxation (GGA-PBE, Alexandria).

a b c (Å): 4.0594 4.0594 4.0594
angles (deg): 90.00 90.00 90.00
With the nearest neighbours (Å) after each atom.
Space group Pm-3m (No. 221)
Inequivalent atoms, fractional coordinates:
Co 0.0000 0.0000 0.0000 x1  12 Co 2.87
Co 0.0000 0.5000 0.5000 x3  2 Cl 2.03
Cl 0.5000 0.5000 0.5000 x1  6 Co 2.03

*2*
# Co4Cl

Co4Cl after structural relaxation (GGA-PBE, Alexandria).

a b c (Å): 6.6086 6.6086 2.7591
angles (deg): 90.00 90.00 90.00
With the nearest neighbours (Å) after each atom.
Space group I4/m (No. 87)
Inequivalent atoms, fractional coordinates:
Co 0.0751 0.2972 0.0000 x8  4 Co 2.45, 2 Cl 2.45
Cl 0.0000 0.0000 0.5000 x2  8 Co 2.45

Least stable = *1*

*1*
# Cr2CoCl

Cr2CoCl after structural relaxation (GGA-PBE, Alexandria).

a b c (Å): 9.0952 2.8851 4.1625
angles (deg): 90.00 90.13 90.00
With the nearest neighbours (Å) after each atom.
Space group Cm (No. 8)
Inequivalent atoms, fractional coordinates:
Cr 0.0000 0.0000 0.0000 x2  1 Cl 2.40, 2 Co 2.41, 2 Cr 2.66
Cr 0.2105 0.5000 0.2766 x2  4 Cl 2.49-2.60, 3 Co 2.59-2.60, 2 Cr 2.66
Co 0.4365 0.0000 0.4408 x2  1 Cl 2.23, 2 Cr 2.41
Cl 0.2403 0.0000 0.7610 x2  1 Co 2.23, 3 Cr 2.40-2.49

*2*
# Cr2CoCl

Cr2CoCl after structural relaxation (GGA-PBE, Alexandria).

a b c (Å): 2.9629 2.9629 6.4353
angles (deg): 90.00 90.00 90.00
With the nearest neighbours (Å) after each atom.
Space group P4mm (No. 99)
Inequivalent atoms, fractional coordinates:
Cr 0.0000 0.0000 0.0000 x1  4 Co 2.40, 4 Cr 2.57
Cr 0.5000 0.5000 0.2317 x1  4 Cr 2.57, 1 Co 2.66, 4 Cl 2.77
Co 0.5000 0.5000 0.8177 x1  5 Cr 2.40-2.66
Cl 0.0000 0.0000 0.5123 x1  4 Cr 2.77, 4 Co 2.87, 4 Cl 2.96

Least stable = *1*

*1*
# CrCoCl3

CrCoCl3 after structural relaxation (GGA-PBE, Alexandria).

a b c (Å): 4.7271 4.7271 4.7271
angles (deg): 90.00 90.00 90.00
With the nearest neighbours (Å) after each atom.
Space group Pm-3m (No. 221)
Inequivalent atoms, fractional coordinates:
Cr 0.0000 0.0000 0.0000 x1  12 Cl 3.34
Co 0.5000 0.5000 0.5000 x1  6 Cl 2.36
Cl 0.0000 0.5000 0.5000 x3  2 Co 2.36

*2*
# CrCoCl3

CrCoCl3 after structural relaxation (GGA-PBE, Alexandria).

a b c (Å): 6.9074 6.9074 4.8611
angles (deg): 90.00 90.00 120.00
With the nearest neighbours (Å) after each atom.
Space group P6_3/mmc (No. 194)
Inequivalent atoms, fractional coordinates:
Cr 0.3333 0.6667 0.2500 x2  6 Cl 3.06
Co 0.0000 0.0000 0.0000 x2  2 Co 2.43, 6 Cl 2.46
Cl 0.1783 0.3566 0.7500 x6  2 Co 2.46

Least stable = *1*

*1*
# CrCo2Cl

CrCo2Cl after structural relaxation (GGA-PBE, Alexandria).

a b c (Å): 8.7407 2.8103 4.0851
angles (deg): 90.00 90.71 90.00
With the nearest neighbours (Å) after each atom.
Space group C2/m (No. 12)
Inequivalent atoms, fractional coordinates:
Cr 0.0000 0.0000 0.0000 x2  4 Cl 2.48, 6 Co 2.54-2.63
Co 0.2197 0.5000 0.2267 x4  1 Cl 2.23, 2 Co 2.39
Cl 0.0000 0.5000 0.5000 x2  2 Co 2.23, 4 Cr 2.48

*2*
# CrCo2Cl

CrCo2Cl after structural relaxation (GGA-PBE, Alexandria).

a b c (Å): 2.8074 2.8074 22.5840
angles (deg): 90.00 90.00 120.00
With the nearest neighbours (Å) after each atom.
Space group R-3m (No. 166, hexagonal axes)
Inequivalent atoms, fractional coordinates:
Cr 0.0000 0.0000 0.0000 x3  6 Co 2.44
Co 0.0000 0.0000 0.2524 x6  3 Cr 2.44, 3 Cl 2.53
Cl 0.0000 0.0000 0.5000 x3  6 Co 2.53, 6 Cl 2.81

Least stable = *1*

*1*
# CrCo3Cl

CrCo3Cl after structural relaxation (GGA-PBE, Alexandria).

a b c (Å): 4.3105 4.3105 4.3105
angles (deg): 90.00 90.00 90.00
With the nearest neighbours (Å) after each atom.
Space group Pm-3m (No. 221)
Inequivalent atoms, fractional coordinates:
Cr 0.0000 0.0000 0.0000 x1  6 Co 2.16
Co 0.0000 0.0000 0.5000 x3  2 Cr 2.16
Cl 0.5000 0.5000 0.5000 x1  12 Co 3.05

*2*
# CrCo3Cl

CrCo3Cl after structural relaxation (GGA-PBE, Alexandria).

a b c (Å): 4.0672 4.0672 4.0672
angles (deg): 90.00 90.00 90.00
With the nearest neighbours (Å) after each atom.
Space group Pm-3m (No. 221)
Inequivalent atoms, fractional coordinates:
Cr 0.0000 0.0000 0.0000 x1  12 Co 2.88
Co 0.0000 0.5000 0.5000 x3  2 Cl 2.03
Cl 0.5000 0.5000 0.5000 x1  6 Co 2.03

Least stable = *1*

*1*
# CrCoP2Cl

CrCoP2Cl after structural relaxation (GGA-PBE, Alexandria).

a b c (Å): 4.2804 4.2804 4.6468
angles (deg): 90.00 90.00 90.00
With the nearest neighbours (Å) after each atom.
Space group P4/mmm (No. 123)
Inequivalent atoms, fractional coordinates:
Cr 0.0000 0.0000 0.0000 x1  4 Cl 3.03, 8 P 3.16
Co 0.5000 0.5000 0.5000 x1  4 P 2.14, 2 Cl 2.32
P 0.0000 0.5000 0.5000 x2  2 Co 2.14
Cl 0.5000 0.5000 0.0000 x1  2 Co 2.32

*2*
# CrCoP2Cl

CrCoP2Cl after structural relaxation (GGA-PBE, Alexandria).

a b c (Å): 4.4040 4.4040 4.8766
angles (deg): 90.00 90.00 90.00
With the nearest neighbours (Å) after each atom.
Space group P4/mmm (No. 123)
Inequivalent atoms, fractional coordinates:
Cr 0.0000 0.0000 0.0000 x1  4 P 2.20, 2 Cl 2.44
Co 0.5000 0.5000 0.5000 x1  4 Cl 3.11, 8 P 3.29
P 0.0000 0.5000 0.0000 x2  2 Cr 2.20
Cl 0.0000 0.0000 0.5000 x1  2 Cr 2.44

Least stable = *1*

*1*
# CrCoPCl2

CrCoPCl2 after structural relaxation (GGA-PBE, Alexandria).

a b c (Å): 4.7782 4.7782 4.2503
angles (deg): 90.00 90.00 90.00
With the nearest neighbours (Å) after each atom.
Space group P4/mmm (No. 123)
Inequivalent atoms, fractional coordinates:
Cr 0.0000 0.0000 0.0000 x1  8 Cl 3.20, 4 P 3.38
Co 0.5000 0.5000 0.5000 x1  2 P 2.13
P 0.5000 0.5000 0.0000 x1  2 Co 2.13
Cl 0.0000 0.5000 0.5000 x2  2 Co 2.39

*2*
# CrCoPCl2

CrCoPCl2 after structural relaxation (GGA-PBE, Alexandria).

a b c (Å): 4.6188 4.6188 4.6014
angles (deg): 90.00 90.00 90.00
With the nearest neighbours (Å) after each atom.
Space group P4/mmm (No. 123)
Inequivalent atoms, fractional coordinates:
Cr 0.0000 0.0000 0.0000 x1  2 P 2.30, 4 Cl 2.31
Co 0.5000 0.5000 0.5000 x1  8 Cl 3.26, 4 P 3.27
P 0.0000 0.0000 0.5000 x1  2 Cr 2.30
Cl 0.0000 0.5000 0.0000 x2  2 Cr 2.31

Least stable = *2*

*1*
# CsCo3Cl

CsCo3Cl after structural relaxation (GGA-PBE, Alexandria).

a b c (Å): 4.9421 4.9421 4.9421
angles (deg): 90.00 90.00 90.00
With the nearest neighbours (Å) after each atom.
Space group Pm-3m (No. 221)
Inequivalent atoms, fractional coordinates:
Cs 0.0000 0.0000 0.0000 x1  6 Co 2.47
Co 0.0000 0.0000 0.5000 x3  2 Cs 2.47
Cl 0.5000 0.5000 0.5000 x1  12 Co 3.49

*2*
# CsCo3Cl

CsCo3Cl after structural relaxation (GGA-PBE, Alexandria).

a b c (Å): 4.4829 4.4829 4.4829
angles (deg): 90.00 90.00 90.00
With the nearest neighbours (Å) after each atom.
Space group Pm-3m (No. 221)
Inequivalent atoms, fractional coordinates:
Cs 0.0000 0.0000 0.0000 x1  12 Co 3.17
Co 0.0000 0.5000 0.5000 x3  2 Cl 2.24
Cl 0.5000 0.5000 0.5000 x1  6 Co 2.24

Least stable = *1*

*1*
# Cs3CoCl6

Cs3CoCl6 after structural relaxation (GGA-PBE, Alexandria).

a b c (Å): 13.5233 7.8100 7.8092
angles (deg): 90.00 125.24 90.00
With the nearest neighbours (Å) after each atom.
Space group C2/m (No. 12)
Inequivalent atoms, fractional coordinates:
Cs 0.0000 0.0000 0.0000 x2  6 Cl 3.25
Cs 0.2500 0.0000 0.7499 x4  12 Cl 3.92-3.95
Co 0.0000 0.5000 0.5000 x2  6 Cl 2.27
Cl 0.0010 0.2941 0.2950 x8  1 Co 2.27
Cl 0.2059 0.5000 0.7076 x4  1 Co 2.27

*2*
# Cs3CoCl6

Cs3CoCl6 after structural relaxation (GGA-PBE, Alexandria).

a b c (Å): 12.3840 12.3840 16.4581
angles (deg): 90.00 90.00 120.00
With the nearest neighbours (Å) after each atom.
Space group R-3c (No. 167, hexagonal axes)
Inequivalent atoms, fractional coordinates:
Cs 0.0000 0.3384 0.2500 x18  8 Cl 3.51-3.62
Co 0.0000 0.0000 0.0000 x6  6 Cl 2.30
Cl 0.0047 0.1530 0.4188 x36  1 Co 2.30

Least stable = *1*